# 1
The following is a DFT calculation (PBE) of crystalline K4Zn at its relaxed geometry.

a = 6.7972 Å, b = 6.7972 Å, c = 6.7972 Å
α = 90.00°, β = 90.00°, γ = 90.00°
Space group Pm-3m (No. 221)
Unique sites:
1 K 0.0000 0.0000 0.0000 x1
2 K 0.0000 0.5000 0.5000 x3
3 Zn 0.5000 0.5000 0.5000 x1

## Properties
Relative energy among the computed polymorphs: 0.000 eV/f.u.
Calculated formation energy: 101 meV per atom
Spin magnetization: 0.00 Bohr magnetons per cell



# 2
The following is a DFT calculation (PBE) of crystalline NdMg3Al8 at its relaxed geometry.

a = 5.5449 Å, b = 5.5449 Å, c = 8.8069 Å
α = 90.00°, β = 90.00°, γ = 120.00°
Space group P3m1 (No. 156)
Unique sites:
1 Nd 0.0000 0.0000 0.0000 x1
2 Mg 0.0000 0.0000 0.3775 x1
3 Mg 0.6667 0.3333 0.4982 x1
4 Mg 0.6667 0.3333 0.8632 x1
5 Al 0.1627 0.3254 0.6819 x3
6 Al 0.3333 0.6667 0.4409 x1
7 Al 0.3333 0.6667 0.9349 x1
8 Al 0.5038 0.0076 0.1873 x3

## Properties
Calculated formation energy: -150 meV per atom
Spin magnetization: 0.00 Bohr magnetons per cell



# 3
The following is a DFT calculation (PBE) of crystalline Y4Er5Th at its relaxed geometry.

a = 17.0137 Å, b = 3.5448 Å, c = 10.9849 Å
α = 90.00°, β = 90.61°, γ = 90.00°
Space group C2/m (No. 12)
Unique sites:
1 Y 0.0261 0.0000 0.2490 x4
2 Y 0.1533 0.5000 0.7457 x4
3 Er 0.0000 0.5000 0.0000 x2
4 Er 0.1718 0.0000 0.4509 x4
5 Er 0.1731 0.0000 0.0455 x4
6 Th 0.0000 0.5000 0.5000 x2

## Properties
Relative energy among the computed polymorphs: 0.000 eV/f.u.
Calculated formation energy: 184 meV per atom
Spin magnetization: 0.00 Bohr magnetons per cell



# 4
The following is a DFT calculation (PBE) of crystalline Rb2PrUTe4 at its relaxed geometry.

a = 7.9949 Å, b = 4.6235 Å, c = 8.9943 Å
α = 90.00°, β = 107.29°, γ = 90.00°
Space group P2/m (No. 10)
Unique sites:
1 Rb 0.0000 0.0000 0.0000 x1
2 Rb 0.5000 0.5000 0.0000 x1
3 Pr 0.0000 0.5000 0.5000 x1
4 U 0.5000 0.0000 0.5000 x1
5 Te 0.2410 0.0000 0.7062 x2
6 Te 0.2717 0.5000 0.2973 x2

## Properties
E_form (uncorrected): -1.11 eV per atom
Spin magnetization: 3.01 Bohr magnetons per cell



# 5
The following is a DFT calculation (PBE) of crystalline VPdS3 at its relaxed geometry.

a = 4.6545 Å, b = 4.6545 Å, c = 4.6545 Å
α = 90.00°, β = 90.00°, γ = 90.00°
Space group Pm-3m (No. 221)
Unique sites:
1 V 0.0000 0.0000 0.0000 x1
2 Pd 0.5000 0.5000 0.5000 x1
3 S 0.0000 0.5000 0.5000 x3

## Properties
Relative energy among the computed polymorphs: 4.853 eV/f.u.
E_form (uncorrected): 0.55 eV per atom
Spin magnetization: 2.08 Bohr magnetons per cell



# 6
The following is a DFT calculation (PBE) of crystalline Mn2RhSe at its relaxed geometry.

a = 3.1925 Å, b = 3.1925 Å, c = 21.9602 Å
α = 90.00°, β = 90.00°, γ = 120.00°
Space group R-3m (No. 166, hexagonal axes)
Unique sites:
1 Mn 0.0000 0.0000 0.2488 x6
2 Rh 0.0000 0.0000 0.0000 x3
3 Se 0.0000 0.0000 0.5000 x3

## Properties
E_form (uncorrected): 0.06 eV per atom
Spin magnetization: 24.53 Bohr magnetons per cell



# 7
The following is a DFT calculation (PBE) of crystalline PuSi2Ag2 at its relaxed geometry.

a = 4.0532 Å, b = 4.1347 Å, c = 22.2250 Å
α = 90.00°, β = 90.00°, γ = 90.00°
Space group Imma (No. 74)
Unique sites:
1 Pu 0.0000 0.2500 0.0763 x4
2 Si 0.0000 0.2500 0.5260 x4
3 Si 0.0000 0.2500 0.6298 x4
4 Ag 0.0000 0.2500 0.2986 x4
5 Ag 0.0000 0.2500 0.7992 x4

## Properties
E_form (uncorrected): -0.23 eV per atom
Spin magnetization: 21.44 Bohr magnetons per cell



# 8
The following is a DFT calculation (PBE) of crystalline Ho2TlCl7 at its relaxed geometry.

a = 8.4741 Å, b = 13.5872 Å, c = 5.2558 Å
α = 90.00°, β = 90.00°, γ = 90.00°
Space group Cmmm (No. 65)
Unique sites:
1 Ho 0.0000 0.1968 0.0000 x4
2 Tl 0.0000 0.5000 0.5000 x2
3 Cl 0.0000 0.0000 0.0000 x2
4 Cl 0.0000 0.2053 0.5000 x4
5 Cl 0.1878 0.3605 0.0000 x8

## Properties
E_form (uncorrected): -2.01 eV per atom
Spin magnetization: 0.00 Bohr magnetons per cell



# 9
The following is a DFT calculation (PBE) of crystalline YAl4Cu2Pd at its relaxed geometry.

a = 4.2015 Å, b = 4.2015 Å, c = 26.4804 Å
α = 90.00°, β = 90.00°, γ = 120.00°
Space group R-3m (No. 166, hexagonal axes)
Unique sites:
1 Y 0.0000 0.0000 0.0000 x3
2 Al 0.0000 0.0000 0.1285 x6
3 Al 0.0000 0.0000 0.4030 x6
4 Cu 0.0000 0.0000 0.2413 x6
5 Pd 0.0000 0.0000 0.5000 x3

## Properties
Calculated formation energy: -447 meV per atom
Spin magnetization: 0.00 Bohr magnetons per cell



# 10
The following is a DFT calculation (PBE) of crystalline RbHg3Pt at its relaxed geometry.

a = 5.4064 Å, b = 5.6319 Å, c = 10.7220 Å
α = 90.22°, β = 92.12°, γ = 90.08°
Space group P1 (No. 1)
Unique sites:
1 Rb 0.0000 0.0000 0.0000 x1
2 Rb 0.4781 0.9957 0.6454 x1
3 Hg 0.3450 0.4995 0.8912 x1
4 Hg 0.4193 0.4969 0.3966 x1
5 Hg 0.4672 0.9957 0.2314 x1
6 Hg 0.8136 0.5007 0.1472 x1
7 Hg 0.9264 0.4967 0.6464 x1
8 Hg 0.9575 0.9992 0.3950 x1
9 Pt 0.8397 0.4991 0.8905 x1
10 Pt 0.9216 0.4991 0.3973 x1

## Properties
Relative energy among the computed polymorphs: 0.610 eV/f.u.
Calculated formation energy: -160 meV per atom
Spin magnetization: 0.00 Bohr magnetons per cell



# 11
The following is a DFT calculation (PBE) of crystalline Y6Ag2Pd at its relaxed geometry.

a = 6.7946 Å, b = 7.4530 Å, c = 11.6726 Å
α = 90.00°, β = 120.24°, γ = 90.00°
Space group P2_1/c (No. 14)
Unique sites:
1 Y 0.0979 0.0238 0.2461 x4
2 Y 0.2046 0.6870 0.0629 x4
3 Y 0.3680 0.1740 0.0517 x4
4 Ag 0.3224 0.1153 0.7575 x4
5 Pd 0.5000 0.0000 0.5000 x2

## Properties
Calculated formation energy: -243 meV per atom
Spin magnetization: 0.00 Bohr magnetons per cell



# 12
The following is a DFT calculation (PBE) of crystalline Tb3TmO at its relaxed geometry.

a = 4.9382 Å, b = 4.9382 Å, c = 4.9382 Å
α = 90.00°, β = 90.00°, γ = 90.00°
Space group Pm-3m (No. 221)
Unique sites:
1 Tb 0.0000 0.0000 0.5000 x3
2 Tm 0.5000 0.5000 0.5000 x1
3 O 0.0000 0.0000 0.0000 x1

## Properties
E_form (uncorrected): -1.11 eV per atom
Spin magnetization: 0.00 Bohr magnetons per cell



# 13
The following is a DFT calculation (PBE) of crystalline RbCa3Os at its relaxed geometry.

a = 5.7426 Å, b = 5.7426 Å, c = 5.7426 Å
α = 90.00°, β = 90.00°, γ = 90.00°
Space group Pm-3m (No. 221)
Unique sites:
1 Rb 0.0000 0.0000 0.0000 x1
2 Ca 0.0000 0.5000 0.5000 x3
3 Os 0.5000 0.5000 0.5000 x1

## Properties
Relative energy among the computed polymorphs: 0.000 eV/f.u.
Calculated formation energy: 341 meV per atom
Spin magnetization: 0.00 Bohr magnetons per cell



# 14
The following is a DFT calculation (PBE) of crystalline PmDy2Sc at its relaxed geometry.

a = 6.1115 Å, b = 3.5325 Å, c = 11.4716 Å
α = 90.00°, β = 100.23°, γ = 90.00°
Space group Cm (No. 8)
Unique sites:
1 Pm 0.0000 0.0000 0.0000 x2
2 Dy 0.0788 0.5000 0.7382 x2
3 Dy 0.4202 0.0000 0.2642 x2
4 Sc 0.3338 0.5000 0.5027 x2

## Properties
Relative energy among the computed polymorphs: 0.011 eV/f.u.
Calculated formation energy: 33 meV per atom
Spin magnetization: 0.00 Bohr magnetons per cell



# 15
The following is a DFT calculation (PBE) of crystalline Ag3IrAu at its relaxed geometry.

a = 5.0436 Å, b = 5.0436 Å, c = 5.0436 Å
α = 90.00°, β = 90.00°, γ = 90.00°
Space group Pm-3m (No. 221)
Unique sites:
1 Ag 0.0000 0.0000 0.5000 x3
2 Ir 0.0000 0.0000 0.0000 x1
3 Au 0.5000 0.5000 0.5000 x1

## Properties
Relative energy among the computed polymorphs: 0.000 eV/f.u.
Calculated formation energy: 1279 meV per atom
Spin magnetization: 0.92 Bohr magnetons per cell



# 16
The following is a DFT calculation (PBE) of crystalline HoCuAgPb at its relaxed geometry.

a = 6.9735 Å, b = 6.9735 Å, c = 6.9735 Å
α = 90.00°, β = 90.00°, γ = 90.00°
Space group F-43m (No. 216)
Unique sites:
1 Ho 0.0000 0.0000 0.0000 x4
2 Cu 0.2500 0.2500 0.7500 x4
3 Ag 0.2500 0.2500 0.2500 x4
4 Pb 0.0000 0.0000 0.5000 x4

## Properties
Calculated formation energy: -185 meV per atom
Spin magnetization: 0.00 Bohr magnetons per cell



# 17
The following is a DFT calculation (PBE) of crystalline B5C7 at its relaxed geometry.

a = 11.5103 Å, b = 2.5986 Å, c = 5.5128 Å
α = 90.00°, β = 109.38°, γ = 90.00°
Space group Cm (No. 8)
Unique sites:
1 B 0.0000 0.0000 0.0000 x2
2 B 0.0444 0.0000 0.3314 x2
3 B 0.1645 0.5000 0.3630 x2
4 B 0.3118 0.0000 0.6781 x2
5 B 0.4311 0.0000 0.1003 x2
6 C 0.0800 0.0000 0.8223 x2
7 C 0.1611 0.5000 0.8700 x2
8 C 0.2382 0.5000 0.6855 x2
9 C 0.2427 0.5000 0.1611 x2
10 C 0.3242 0.0000 0.2235 x2
11 C 0.4024 0.0000 0.5134 x2
12 C 0.4836 0.5000 0.5527 x2

## Properties
Relative energy among the computed polymorphs: 1.032 eV/f.u.
Calculated formation energy: 344 meV per atom
Spin magnetization: 0.00 Bohr magnetons per cell



# 18
The following is a DFT calculation (PBE) of crystalline SbOs2Se at its relaxed geometry.

a = 3.9127 Å, b = 3.9127 Å, c = 8.8561 Å
α = 90.00°, β = 90.00°, γ = 90.00°
Space group I-4m2 (No. 119)
Unique sites:
1 Sb 0.0000 0.0000 0.0000 x2
2 Os 0.0000 0.0000 0.5000 x2
3 Os 0.0000 0.5000 0.2500 x2
4 Se 0.0000 0.5000 0.7500 x2

## Properties
Relative energy among the computed polymorphs: 2.377 eV/f.u.
E_form (uncorrected): 0.95 eV per atom
Spin magnetization: 0.00 Bohr magnetons per cell



# 19
The following is a DFT calculation (PBE) of crystalline Cs2CuPtO4 at its relaxed geometry.

a = 5.8282 Å, b = 14.0919 Å, c = 20.3678 Å
α = 90.00°, β = 90.00°, γ = 90.00°
Space group Fddd (No. 70, origin choice 2)
Unique sites:
1 Cs 0.1250 0.1250 0.2922 x16
2 Cu 0.1250 0.1250 0.1250 x8
3 Pt 0.1250 0.1250 0.6250 x8
4 O 0.1053 0.2864 0.3761 x32

## Properties
E_form (uncorrected): -0.87 eV per atom
Spin magnetization: 8.13 Bohr magnetons per cell



# 20
The following is a DFT calculation (PBE) of crystalline Ba2AuCl at its relaxed geometry.

a = 8.1364 Å, b = 8.1364 Å, c = 8.1364 Å
α = 90.00°, β = 90.00°, γ = 90.00°
Space group Fm-3m (No. 225)
Unique sites:
1 Ba 0.2500 0.2500 0.2500 x8
2 Au 0.0000 0.0000 0.0000 x4
3 Cl 0.0000 0.0000 0.5000 x4

## Properties
Relative energy among the computed polymorphs: 0.842 eV/f.u.
E_form (uncorrected): -1.08 eV per atom
Spin magnetization: 0.00 Bohr magnetons per cell



# 21
The following is a DFT calculation (PBE) of crystalline Na5Cu2H12 at its relaxed geometry.

a = 11.2006 Å, b = 7.6289 Å, c = 5.5078 Å
α = 90.00°, β = 95.11°, γ = 90.00°
Space group C2/m (No. 12)
Unique sites:
1 Na 0.0000 0.0000 0.0000 x2
2 Na 0.1200 0.5000 0.0999 x4
3 Na 0.2246 0.0000 0.4219 x4
4 Cu 0.0000 0.3376 0.5000 x4
5 H 0.0214 0.0000 0.5575 x4
6 H 0.0723 0.5000 0.6857 x4
7 H 0.1000 0.2461 0.3333 x8
8 H 0.2240 0.2156 0.9915 x8

## Properties
Calculated total energy: -108.5 eV per cell
Spin magnetization: 0.00 Bohr magnetons per cell



# 22
The following is a DFT calculation (PBE) of crystalline ZrHPd3 at its relaxed geometry.

a = 4.1029 Å, b = 4.1029 Å, c = 4.1029 Å
α = 90.00°, β = 90.00°, γ = 90.00°
Space group Pm-3m (No. 221)
Unique sites:
1 Zr 0.0000 0.0000 0.0000 x1
2 H 0.5000 0.5000 0.5000 x1
3 Pd 0.0000 0.5000 0.5000 x3

## Properties
Relative energy among the computed polymorphs: 0.374 eV/f.u.
Spin magnetization: 0.00 Bohr magnetons per cell



# 23
The following is a DFT calculation (PBE) of crystalline Ce5Bi4Pb at its relaxed geometry.

a = 10.2694 Å, b = 10.2694 Å, c = 6.4947 Å
α = 90.00°, β = 90.00°, γ = 90.00°
Space group I4/m (No. 87)
Unique sites:
1 Ce 0.0000 0.0000 0.0000 x2
2 Ce 0.1000 0.7016 0.5000 x8
3 Bi 0.0990 0.6993 0.0000 x8
4 Pb 0.0000 0.0000 0.5000 x2

## Properties
Calculated formation energy: -696 meV per atom
Spin magnetization: 7.68 Bohr magnetons per cell



# 24
The following is a DFT calculation (PBE) of crystalline Tl2Zn at its relaxed geometry.

a = 7.6977 Å, b = 7.6977 Å, c = 5.2732 Å
α = 90.00°, β = 90.00°, γ = 90.00°
Space group I4/mcm (No. 140)
Unique sites:
1 Tl 0.1545 0.3455 0.0000 x8
2 Zn 0.0000 0.0000 0.2500 x4

## Properties
Relative energy among the computed polymorphs: 0.000 eV/f.u.
Calculated formation energy: 76 meV per atom
Spin magnetization: 0.00 Bohr magnetons per cell